No. 1
CaPrPu2N4 after structural relaxation. Source: the Alexandria database, functional PBE-GGA.

Summary:
- raw total energy (eV/atom) = -9.74

Lattice parameters (Å, degrees): 7.0174 7.0174 6.2359 90.00 124.23 90.00
Last column: nearest neighbours and their distance in Å.
Fractional coordinates of all 16 atoms:
Ca1 0.0000 0.0000 0.0000  6 N 2.50-2.60
Ca2 0.5000 0.5000 0.0000  6 N 2.50-2.60
Pr1 0.4946 0.0000 0.9892  6 N 2.50-2.64
Pr2 0.9946 0.5000 0.9892  6 N 2.50-2.64
Pu1 0.4907 0.2500 0.4811  1 N 2.17
Pu2 0.4907 0.7500 0.4811  1 N 2.17
Pu3 0.9907 0.2500 0.4811  1 N 2.17
Pu4 0.9907 0.7500 0.4811  1 N 2.17
N1 0.2495 0.5000 0.5009  4 Pu 2.48-2.49, 1 Ca 2.57, 1 Pr 2.64
N2 0.2519 0.0000 0.5050  4 Pu 2.48-2.49, 1 Pr 2.50, 1 Ca 2.60
N3 0.2804 0.2500 0.0608  1 Pu 2.17
N4 0.2804 0.7500 0.0608  1 Pu 2.17
N5 0.7495 0.0000 0.5009  4 Pu 2.48-2.49, 1 Ca 2.57, 1 Pr 2.64
N6 0.7519 0.5000 0.5050  4 Pu 2.48-2.49, 1 Pr 2.50, 1 Ca 2.60
N7 0.7804 0.2500 0.0608  1 Pu 2.17
N8 0.7804 0.7500 0.0608  1 Pu 2.17

=====

No. 2
CaPr2PuN4 after structural relaxation. Source: the Alexandria database, functional PBE-GGA.

Summary:
- raw total energy (eV/atom) = -8.58

Lattice parameters (Å, degrees): 6.1396 3.6179 6.1618 90.00 108.57 90.00
Last column: nearest neighbours and their distance in Å.
Fractional coordinates of all 8 atoms:
Ca1 0.0000 0.0000 0.0000  6 N 2.50-2.57
Pr1 0.0000 0.5000 0.5000  6 N 2.62-2.76
Pr2 0.5000 0.0000 0.5000  6 N 2.50-2.55
Pu1 0.5000 0.5000 0.0000  6 N 2.24-2.48
N1 0.2638 0.0000 0.7643  2 Pu 2.48, 1 Ca 2.50, 3 Pr 2.50-2.62
N2 0.2785 0.5000 0.2265  1 Pu 2.24
N3 0.7215 0.5000 0.7735  1 Pu 2.24
N4 0.7362 0.0000 0.2357  2 Pu 2.48, 1 Ca 2.50, 3 Pr 2.50-2.62

=====

No. 3
Ca3Pr2PuN6 after structural relaxation. Source: the Alexandria database, functional PBE-GGA.

Summary:
- raw total energy (eV/atom) = -7.78

Lattice parameters (Å, degrees): 6.2091 6.2091 6.1103 99.79 99.79 120.07
Last column: nearest neighbours and their distance in Å.
Fractional coordinates of all 12 atoms:
Ca1 0.0000 0.0000 0.0000  4 N 2.52
Ca2 0.3388 0.6612 0.0000  4 N 2.51
Ca3 0.6612 0.3388 0.0000  4 N 2.51
Pr1 0.1679 0.8321 0.5000  6 N 2.54-2.55
Pr2 0.8321 0.1679 0.5000  6 N 2.54-2.55
Pu1 0.5000 0.5000 0.5000  6 N 2.19-2.26
N1 0.1273 0.4247 0.2734  1 Pu 2.26, 2 Ca 2.51-2.52
N2 0.2807 0.2807 0.7144  1 Pu 2.19
N3 0.4247 0.1273 0.2734  1 Pu 2.26, 2 Ca 2.51-2.52
N4 0.5753 0.8727 0.7266  1 Pu 2.26, 2 Ca 2.51-2.52
N5 0.7193 0.7193 0.2856  1 Pu 2.19
N6 0.8727 0.5753 0.7266  1 Pu 2.26, 2 Ca 2.51-2.52

=====

No. 4
CaPr2ReN4 after structural relaxation. Source: the Alexandria database, functional PBE-GGA.

Summary:
- raw total energy (eV/atom) = -7.89

Lattice parameters (Å, degrees): 6.4773 6.4773 12.1716 90.00 90.00 148.12
Last column: nearest neighbours and their distance in Å.
Fractional coordinates of all 16 atoms:
Ca1 0.1264 0.8736 0.7500  4 N 2.66
Ca2 0.8736 0.1264 0.2500  4 N 2.66
Pr1 0.3692 0.6308 0.5336  6 N 2.45-2.71
Pr2 0.3692 0.6308 0.9664  6 N 2.45-2.71
Pr3 0.6308 0.3692 0.0336  6 N 2.45-2.71
Pr4 0.6308 0.3692 0.4664  6 N 2.45-2.71
Re1 0.1540 0.8460 0.2500  4 N 1.94-1.97
Re2 0.8460 0.1540 0.7500  4 N 1.94-1.97
N1 0.0000 0.0000 0.0000  4 Pr 2.45
N2 0.0000 0.0000 0.5000  4 Pr 2.45
N3 0.2619 0.7381 0.1347  1 Re 1.94
N4 0.2619 0.7381 0.3653  1 Re 1.94
N5 0.4143 0.5857 0.7500  2 Re 1.97
N6 0.5857 0.4143 0.2500  2 Re 1.97
N7 0.7381 0.2619 0.6347  1 Re 1.94
N8 0.7381 0.2619 0.8653  1 Re 1.94